Entry from Alexandria via LeMat-Bulk: crystalline AlSnGe2 at its relaxed geometry (PBE).

Output
The calculation puts the density of states at the Fermi level at 1.87 states/eV/f.u. The value obtained for the total magnetization is 0.00 Bohr magnetons per cell. The formation energy comes out at 16 kJ/mol of atoms. The value obtained for the energy above the most stable polymorph in this dataset is 0.0456 eV per atom. The crystal system is trigonal.

Cell lengths 3.992, 3.992, 6.703 Å; angles 72.68, 72.68, 60.00 degrees
Fractional positions:
Al (0.000, 0.000, 0.000)
Ge (0.262, 0.262, 0.215)
Ge (0.738, 0.738, 0.785)
Sn (0.500, 0.500, 0.500)